CeTlCdCu: relaxed, PBE.

It has space group F-43m (No. 216), with a = 7.1728 Å, b = 7.1728 Å, c = 7.1728 Å, α = 90.00°, β = 90.00° and γ = 90.00°. The inequivalent atoms are Ce at (0.0000, 0.0000, 0.0000), Tl at (0.2500, 0.2500, 0.7500), Cd at (0.0000, 0.0000, 0.5000) and Cu at (0.2500, 0.2500, 0.2500).

The energy relative to the elements is -0.094 eV/atom.


CeTmCdCu: relaxed, PBE.

It has space group F-43m (No. 216), with a = 7.2934 Å, b = 7.2934 Å, c = 7.2934 Å, α = 90.00°, β = 90.00° and γ = 90.00°. The inequivalent atoms are Ce at (0.0000, 0.0000, 0.0000), Tm at (0.0000, 0.0000, 0.5000), Cd at (0.2500, 0.2500, 0.2500) and Cu at (0.2500, 0.2500, 0.7500).

The energy relative to the elements is -0.108 eV/atom.


CeDy2Cd: relaxed, PBE.

It has space group R-3m (No. 166, hexagonal axes), with a = 3.4286 Å, b = 3.4286 Å, c = 35.7324 Å, α = 90.00°, β = 90.00° and γ = 120.00°. The inequivalent atoms are Ce at (0.0000, 0.0000, 0.0000), Dy at (0.0000, 0.0000, 0.4107) and Cd at (0.0000, 0.0000, 0.5000).

The energy relative to the elements is 0.183 eV/atom. The energy above the most stable polymorph in this dataset comes out at 295 meV per atom.


CeDyCd17: relaxed, PBE.

It has space group R3m (No. 160, hexagonal axes), with a = 10.0621 Å, b = 10.0621 Å, c = 14.9982 Å, α = 90.00°, β = 90.00° and γ = 120.00°. The inequivalent atoms are Ce at (0.0000, 0.0000, 0.0000), Dy at (0.0000, 0.0000, 0.6591), Cd at (0.0000, 0.0000, 0.2411), Cd at (0.0000, 0.0000, 0.4378), Cd at (0.0029, 0.3034, 0.3329), Cd at (0.0181, 0.5091, 0.1890), Cd at (0.0303, 0.5151, 0.8267) and Cd at (0.0536, 0.5268, 0.4839).

The energy relative to the elements is -0.111 eV/atom.


V, respectively: 369; 388; 364; 1315 Å³ per cell.
Final energy, respectively: -3.422; -3.962; -3.831; -1.484 eV/atom.